# La3SbP5 PBE-GGA relaxed
data_La3SbP5
_chemical_formula_sum 'La6 Sb2 P10'
_symmetry_space_group_name_H-M 'P 1'
_symmetry_Int_Tables_number 1
_symmetry_space_group_name_Hall 'P 1'
_cell_length_a 8.7815
_cell_length_b 8.7815
_cell_length_c 6.1598
_cell_angle_alpha 90.00
_cell_angle_beta 90.00
_cell_angle_gamma 120.00
loop_
_atom_site_label
_atom_site_type_symbol
_atom_site_fract_x
_atom_site_fract_y
_atom_site_fract_z
_atom_site_occupancy
Sb1 Sb 0.0000 0.0000 0.0000 1
Sb2 Sb 0.0000 0.0000 0.5000 1
P1 P 0.2591 0.0000 0.2500 1
P2 P 0.0000 0.2591 0.2500 1
P3 P 0.7409 0.7409 0.2500 1
P4 P 0.7409 0.0000 0.7500 1
P5 P 0.0000 0.7409 0.7500 1
P6 P 0.2591 0.2591 0.7500 1
P7 P 0.3333 0.6667 0.0000 1
P8 P 0.6667 0.3333 0.5000 1
P9 P 0.6667 0.3333 0.0000 1
P10 P 0.3333 0.6667 0.5000 1
La1 La 0.6170 0.0000 0.2500 1
La2 La 0.0000 0.6170 0.2500 1
La3 La 0.3830 0.3830 0.2500 1
La4 La 0.3830 0.0000 0.7500 1
La5 La 0.0000 0.3830 0.7500 1
La6 La 0.6170 0.6170 0.7500 1
# raw total energy = -5.956 eV per atom
# V = 411 Å³/cell
# E_form (uncorrected) = -81.97 kJ per mole of atoms
# space group = P6_3/mcm (193)